## Te3HPd6 (PBE)

Data for Te3HPd6 after structural relaxation.

Lattice parameters (Å, degrees): 4.7612 8.4777 9.8523 114.89 90.00 90.00
Positions (direct):
1 Pd 0.2500 0.7782 0.4471
2 Pd 0.2500 0.4028 0.3173
3 Pd 0.2500 0.0601 0.0780
4 Pd 0.7500 0.8500 0.2955
5 Pd 0.7500 0.9166 0.6256
6 Pd 0.2500 0.1500 0.7045
7 Pd 0.7500 0.2727 0.8944
8 Pd 0.7500 0.2218 0.5529
9 Pd 0.2500 0.7273 0.1056
10 Pd 0.7500 0.9399 0.9220
11 Pd 0.7500 0.5972 0.6827
12 Pd 0.2500 0.0834 0.3744
13 Te 0.7500 0.5959 0.3993
14 Te 0.2500 0.8762 0.7701
15 Te 0.7500 0.1238 0.2299
16 Te 0.7500 0.6399 0.9734
17 Te 0.2500 0.3601 0.0266
18 Te 0.2500 0.4041 0.6007
19 H 0.2500 0.8538 0.3056
20 H 0.7500 0.1462 0.6944

Computed properties:
* symmetry: No. 11
* crystal system: monoclinic
* VASP energy: -4.6196 eV/atom